Record 1
A relaxed structure of Bi2S3O12, computed with PBE-GGA.

a b c (Å): 9.204 9.424 15.528
angles (deg): 90.00 124.57 90.00
Space group P2_1/c (No. 14)
Inequivalent atoms, fractional coordinates:
1 Bi 0.137 0.030 0.386 (multiplicity 4)
2 Bi 0.363 0.038 0.113 (multiplicity 4)
3 S 0.035 0.620 0.644 (multiplicity 4)
4 S 0.256 0.118 0.657 (multiplicity 4)
5 S 0.461 0.749 0.998 (multiplicity 4)
6 O 0.044 0.736 0.187 (multiplicity 4)
7 O 0.113 0.514 0.731 (multiplicity 4)
8 O 0.129 0.091 0.686 (multiplicity 4)
9 O 0.137 0.616 0.597 (multiplicity 4)
10 O 0.154 0.083 0.935 (multiplicity 4)
11 O 0.164 0.105 0.542 (multiplicity 4)
12 O 0.281 0.692 0.954 (multiplicity 4)
13 O 0.325 0.235 0.191 (multiplicity 4)
14 O 0.404 0.014 0.710 (multiplicity 4)
15 O 0.406 0.138 0.439 (multiplicity 4)
16 O 0.473 0.705 0.410 (multiplicity 4)
17 O 0.494 0.627 0.567 (multiplicity 4)

Properties
The value obtained for the uncorrected formation energy is -2246 kJ/mol of formula units. Its calculated density is 4.23 g/cm³. The calculation puts the uncorrected energy at -6.05 eV/atom. The value obtained for the magnetization is 0.0 μB/f.u. For the relative energy among the computed polymorphs, the calculation gives 1 meV per atom.

Record 2
A relaxed structure of Bi14SO24, computed with PBE-GGA.

a b c (Å): 12.471 17.247 8.812
angles (deg): 90.00 134.88 90.00
Space group Cm (No. 8)
Inequivalent atoms, fractional coordinates:
1 Bi 0.000 0.000 0.000 (multiplicity 2)
2 Bi 0.016 0.332 0.962 (multiplicity 4)
3 Bi 0.106 0.167 0.362 (multiplicity 4)
4 Bi 0.159 0.500 0.422 (multiplicity 2)
5 Bi 0.214 0.340 0.762 (multiplicity 4)
6 Bi 0.265 0.500 0.104 (multiplicity 2)
7 Bi 0.327 0.169 0.177 (multiplicity 4)
8 Bi 0.418 0.330 0.585 (multiplicity 4)
9 Bi 0.425 0.000 0.534 (multiplicity 2)
10 S 0.252 0.000 0.779 (multiplicity 2)
11 O 0.034 0.420 0.459 (multiplicity 4)
12 O 0.089 0.421 0.824 (multiplicity 4)
13 O 0.136 0.253 0.938 (multiplicity 4)
14 O 0.179 0.071 0.768 (multiplicity 4)
15 O 0.217 0.118 0.270 (multiplicity 4)
16 O 0.219 0.381 0.271 (multiplicity 4)
17 O 0.237 0.000 0.593 (multiplicity 2)
18 O 0.291 0.253 0.601 (multiplicity 4)
19 O 0.341 0.421 0.712 (multiplicity 4)
20 O 0.396 0.421 0.073 (multiplicity 4)
21 O 0.418 0.000 0.984 (multiplicity 2)
22 O 0.465 0.253 0.098 (multiplicity 4)
23 O 0.470 0.246 0.447 (multiplicity 4)

Properties
The value obtained for the uncorrected formation energy is -4809 kJ/mol of formula units. Its calculated density is 8.26 g/cm³. The calculation puts the uncorrected energy at -5.83 eV/atom. The value obtained for the magnetization is 0.0 μB/f.u.

Record 3
A relaxed structure of Bi2SO6, computed with PBE-GGA.

a b c (Å): 5.124 6.313 8.881
angles (deg): 90.00 124.10 90.00
Space group P2_1/c (No. 14)
Inequivalent atoms, fractional coordinates:
1 Bi 0.226 0.101 0.245 (multiplicity 4)
2 S 0.500 0.000 0.000 (multiplicity 2)
3 O 0.200 0.145 0.978 (multiplicity 4)
4 O 0.285 0.724 0.446 (multiplicity 4)
5 O 0.343 0.043 0.775 (multiplicity 4)

Properties
The value obtained for the uncorrected formation energy is -921 kJ/mol of formula units. Its calculated density is 7.62 g/cm³. The calculation puts the uncorrected energy at -5.69 eV/atom. The value obtained for the magnetization is 0.0 μB/f.u.